No. 1
# TeOs

A relaxed TeOs crystal (PBE, the Alexandria database).

Cell: 7.2575 7.2575 7.2575 Å, 90.00 90.00 90.00°
With the nearest neighbours (Å) after each atom.
Sites, in units of the cell vectors:
1 Te 0.2500 0.5000 0.0000  4 Os 2.57
2 Te 0.7500 0.5000 0.0000  4 Os 2.57
3 Te 0.5000 0.0000 0.2500  4 Os 2.57
4 Te 0.5000 0.0000 0.7500  4 Os 2.57
5 Te 0.0000 0.2500 0.5000  4 Os 2.57
6 Te 0.0000 0.7500 0.5000  4 Os 2.57
7 Os 0.2500 0.0000 0.5000  4 Te 2.57
8 Os 0.7500 0.0000 0.5000  4 Te 2.57
9 Os 0.0000 0.5000 0.2500  4 Te 2.57
10 Os 0.0000 0.5000 0.7500  4 Te 2.57
11 Os 0.5000 0.2500 0.0000  4 Te 2.57
12 Os 0.5000 0.7500 0.0000  4 Te 2.57

Computed properties:
The space-group type is Pm-3n.

***

No. 2
# TeOs

A relaxed TeOs crystal (PBE, the Alexandria database).

Cell: 7.8029 5.6940 7.8802 Å, 90.00 90.00 90.00°
With the nearest neighbours (Å) after each atom.
Sites, in units of the cell vectors:
1 Te 0.4358 0.0497 0.1845  4 Os 2.59-2.81
2 Te 0.9358 0.4503 0.8155  4 Os 2.59-2.81
3 Te 0.5642 0.5497 0.3155  4 Os 2.59-2.81
4 Te 0.0642 0.9503 0.6845  4 Os 2.59-2.81
5 Te 0.3851 0.5300 0.8774  5 Os 2.67-2.83
6 Te 0.8851 0.9700 0.1226  5 Os 2.67-2.83
7 Te 0.6149 0.0300 0.6226  5 Os 2.67-2.83
8 Te 0.1149 0.4700 0.3774  5 Os 2.67-2.83
9 Os 0.6530 0.2347 0.9328  3 Os 2.68-2.80, 5 Te 2.69-2.81
10 Os 0.1530 0.2653 0.0672  3 Os 2.68-2.80, 5 Te 2.69-2.81
11 Os 0.3470 0.7347 0.5672  3 Os 2.68-2.80, 5 Te 2.69-2.81
12 Os 0.8470 0.7653 0.4328  3 Os 2.68-2.80, 5 Te 2.69-2.81
13 Os 0.3519 0.9965 0.8684  4 Te 2.59-2.83, 3 Os 2.68-2.80
14 Os 0.8519 0.5035 0.1316  4 Te 2.59-2.83, 3 Os 2.68-2.80
15 Os 0.6481 0.4965 0.6316  4 Te 2.59-2.83, 3 Os 2.68-2.80
16 Os 0.1481 0.0035 0.3684  4 Te 2.59-2.83, 3 Os 2.68-2.80

Computed properties:
The space-group type is P2_12_12_1.

***

No. 3
# TeOs2

A relaxed TeOs2 crystal (PBE, the Alexandria database).

Cell: 5.1995 5.1995 8.8361 Å, 79.53 79.53 32.54°
With the nearest neighbours (Å) after each atom.
Sites, in units of the cell vectors:
1 Te 0.1532 0.1532 0.8346  4 Os 2.72-2.83, 2 Te 2.91
2 Te 0.8468 0.8468 0.1654  4 Os 2.72-2.83, 2 Te 2.91
3 Os 0.8166 0.8166 0.5940  9 Os 2.64-2.91, 2 Te 2.83
4 Os 0.4585 0.4585 0.3697  6 Os 2.59-2.75, 2 Te 2.72
5 Os 0.5415 0.5415 0.6303  6 Os 2.59-2.75, 2 Te 2.72
6 Os 0.1834 0.1834 0.4060  9 Os 2.64-2.91, 2 Te 2.83

Computed properties:
The space-group type is C2/m.

***

No. 4
# TeOs2

A relaxed TeOs2 crystal (PBE, the Alexandria database).

Cell: 4.2789 4.2789 4.2789 Å, 60.00 60.00 60.00°
With the nearest neighbours (Å) after each atom.
Sites, in units of the cell vectors:
1 Os 0.7500 0.7500 0.7500  4 Te 2.62
2 Os 0.2500 0.2500 0.2500  4 Te 2.62
3 Te 0.0000 0.0000 0.0000  8 Os 2.62

Computed properties:
The space-group type is Fm-3m.

***

No. 5
# Te5Os

A relaxed Te5Os crystal (PBE, the Alexandria database).

Cell: 6.2096 6.2096 6.2096 Å, 60.00 60.00 60.00°
With the nearest neighbours (Å) after each atom.
Sites, in units of the cell vectors:
1 Te 0.2500 0.2500 0.2500  12 Te 3.64, 4 Os 3.80
2 Te 0.6259 0.6259 0.6259  6 Te 3.08-3.13
3 Te 0.6259 0.6259 0.1223  6 Te 3.08-3.13
4 Te 0.1223 0.6259 0.6259  6 Te 3.08-3.13
5 Te 0.6259 0.1223 0.6259  6 Te 3.08-3.13
6 Os 0.0000 0.0000 0.0000  16 Te 3.64-3.80

Computed properties:
The space-group type is F-43m.

***

No. 6
# Te5Os

A relaxed Te5Os crystal (PBE, the Alexandria database).

Cell: 3.1044 3.1044 18.9637 Å, 90.00 90.00 90.00°
With the nearest neighbours (Å) after each atom.
Sites, in units of the cell vectors:
1 Te 0.0000 0.0000 0.9058  4 Os 2.83, 4 Te 3.10
2 Te 0.0000 0.0000 0.0942  4 Os 2.83, 4 Te 3.10
3 Te 0.5000 0.5000 0.7222  4 Te 3.10
4 Te 0.5000 0.5000 0.2778  4 Te 3.10
5 Te 0.0000 0.0000 0.5000  4 Te 3.10
6 Os 0.5000 0.5000 0.0000  8 Te 2.83, 4 Os 3.10

Computed properties:
The space-group type is P4/mmm.

***

No. 7
# TeOs

A relaxed TeOs crystal (PBE, the Alexandria database).

Cell: 8.2144 12.3199 7.8512 Å, 90.00 90.00 90.00°
With the nearest neighbours (Å) after each atom.
Sites, in units of the cell vectors:
1 Te 0.7732 0.0000 0.0000  4 Os 2.61-2.64
2 Te 0.2268 0.0000 0.0000  4 Os 2.61-2.64
3 Te 0.4768 0.7500 0.2500  4 Os 2.61-2.64
4 Te 0.0232 0.7500 0.2500  4 Os 2.61-2.64
5 Te 0.7732 0.5000 0.5000  4 Os 2.61-2.64
6 Te 0.2268 0.5000 0.5000  4 Os 2.61-2.64
7 Te 0.4768 0.2500 0.7500  4 Os 2.61-2.64
8 Te 0.0232 0.2500 0.7500  4 Os 2.61-2.64
9 Te 0.2732 0.0000 0.5000  4 Os 2.61-2.64
10 Te 0.7268 0.0000 0.5000  4 Os 2.61-2.64
11 Te 0.9768 0.7500 0.7500  4 Os 2.61-2.64
12 Te 0.5232 0.7500 0.7500  4 Os 2.61-2.64
13 Te 0.2732 0.5000 0.0000  4 Os 2.61-2.64
14 Te 0.7268 0.5000 0.0000  4 Os 2.61-2.64
15 Te 0.9768 0.2500 0.2500  4 Os 2.61-2.64
16 Te 0.5232 0.2500 0.2500  4 Os 2.61-2.64
17 Os 0.0000 0.6080 0.0000  4 Te 2.61-2.64, 3 Os 2.66-2.87
18 Os 0.0000 0.3920 0.0000  4 Te 2.61-2.64, 3 Os 2.66-2.87
19 Os 0.2500 0.1420 0.2500  4 Te 2.61-2.64, 3 Os 2.66-2.87
20 Os 0.2500 0.3580 0.2500  4 Te 2.61-2.64, 3 Os 2.66-2.87
21 Os 0.0000 0.1080 0.5000  4 Te 2.61-2.64, 3 Os 2.66-2.87
22 Os 0.0000 0.8920 0.5000  4 Te 2.61-2.64, 3 Os 2.66-2.87
23 Os 0.2500 0.6420 0.7500  4 Te 2.61-2.64, 3 Os 2.66-2.87
24 Os 0.2500 0.8580 0.7500  4 Te 2.61-2.64, 3 Os 2.66-2.87
25 Os 0.5000 0.6080 0.5000  4 Te 2.61-2.64, 3 Os 2.66-2.87
26 Os 0.5000 0.3920 0.5000  4 Te 2.61-2.64, 3 Os 2.66-2.87
27 Os 0.7500 0.1420 0.7500  4 Te 2.61-2.64, 3 Os 2.66-2.87
28 Os 0.7500 0.3580 0.7500  4 Te 2.61-2.64, 3 Os 2.66-2.87
29 Os 0.5000 0.1080 0.0000  4 Te 2.61-2.64, 3 Os 2.66-2.87
30 Os 0.5000 0.8920 0.0000  4 Te 2.61-2.64, 3 Os 2.66-2.87
31 Os 0.7500 0.6420 0.2500  4 Te 2.61-2.64, 3 Os 2.66-2.87
32 Os 0.7500 0.8580 0.2500  4 Te 2.61-2.64, 3 Os 2.66-2.87

Computed properties:
The space-group type is Fddd.

***

No. 8
# TeOs

A relaxed TeOs crystal (PBE, the Alexandria database).

Cell: 3.1175 3.1175 8.7843 Å, 90.00 90.00 90.00°
With the nearest neighbours (Å) after each atom.
Sites, in units of the cell vectors:
1 Os 0.2500 0.2500 0.1117  4 Te 2.71, 4 Os 2.95
2 Os 0.7500 0.7500 0.8883  4 Te 2.71, 4 Os 2.95
3 Te 0.2500 0.2500 0.7088  4 Os 2.71
4 Te 0.7500 0.7500 0.2912  4 Os 2.71

Computed properties:
The space-group type is P4/nmm.

***

| no. | uncorrected energy (eV per atom) | DOS(E_F) (states/eV/f.u.) |
| --- | --- | --- |
| 1 | -6.110 | 2.288 |
| 2 | -6.559 | 1.394 |
| 3 | -8.089 | 2.302 |
| 4 | -7.457 | 3.260 |
| 5 | -3.116 | 6.150 |
| 6 | -4.175 | 4.408 |
| 7 | -6.581 | 1.087 |
| 8 | -6.612 | 1.192 |